Record 1
Below is MnSiTc2 after structural relaxation, with properties calculated at the PBEsol level.

Its space-group type is Imm2, No. 44.

Lattice parameters (Å, degrees): 4.8632 4.8632 4.8632 145.17 130.36 62.07
Positions (direct):
1 Mn 0.0000 0.0000 0.0000
2 Si 0.2280 0.7280 0.5000
3 Tc 0.4759 0.4759 0.0000
4 Tc 0.7405 0.2405 0.5000

Record 2
Below is MnSiTc2 after structural relaxation, with properties calculated at the PBEsol level.

Its space-group type is P4/mmm, No. 123.

Lattice parameters (Å, degrees): 2.9004 2.9004 5.9988 90.00 90.00 90.00
Positions (direct):
1 Mn 0.0000 0.0000 0.0000
2 Si 0.0000 0.0000 0.5000
3 Tc 0.5000 0.5000 0.2555
4 Tc 0.5000 0.5000 0.7445

Record 3
Below is MnSiTc2 after structural relaxation, with properties calculated at the PBEsol level.

Its space-group type is F-43m, No. 216.

Lattice parameters (Å, degrees): 4.1379 4.1379 4.1379 60.00 60.00 60.00
Positions (direct):
1 Mn 0.0000 0.0000 0.0000
2 Si 0.7500 0.7500 0.7500
3 Tc 0.2500 0.2500 0.2500
4 Tc 0.5000 0.5000 0.5000

Record 4
Below is Mn2SiTc after structural relaxation, with properties calculated at the PBEsol level.

Its space-group type is P4/mmm, No. 123.

Lattice parameters (Å, degrees): 3.6110 3.6110 3.7261 90.00 90.00 90.00
Positions (direct):
1 Mn 0.0000 0.5000 0.0000
2 Mn 0.5000 0.0000 0.0000
3 Si 0.0000 0.0000 0.5000
4 Tc 0.5000 0.5000 0.5000

Record 5
Below is Mn2SiTc after structural relaxation, with properties calculated at the PBEsol level.

Its space-group type is F-43m, No. 216.

Lattice parameters (Å, degrees): 4.0694 4.0694 4.0694 60.00 60.00 60.00
Positions (direct):
1 Mn 0.0000 0.0000 0.0000
2 Mn 0.2500 0.2500 0.2500
3 Si 0.5000 0.5000 0.5000
4 Tc 0.7500 0.7500 0.7500

Record 6
Below is MnSiTc3 after structural relaxation, with properties calculated at the PBEsol level.

Its space-group type is Pm-3m, No. 221.

Lattice parameters (Å, degrees): 4.3106 4.3106 4.3106 90.00 90.00 90.00
Positions (direct):
1 Mn 0.0000 0.0000 0.0000
2 Si 0.5000 0.5000 0.5000
3 Tc 0.0000 0.0000 0.5000
4 Tc 0.0000 0.5000 0.0000
5 Tc 0.5000 0.0000 0.0000

Record 7
Below is MnSiTe3 after structural relaxation, with properties calculated at the PBEsol level.

Its space-group type is Pm-3m, No. 221.

Lattice parameters (Å, degrees): 5.1858 5.1858 5.1858 90.00 90.00 90.00
Positions (direct):
1 Mn 0.0000 0.0000 0.0000
2 Si 0.5000 0.5000 0.5000
3 Te 0.0000 0.5000 0.5000
4 Te 0.5000 0.0000 0.5000
5 Te 0.5000 0.5000 0.0000

Record 8
Below is Mn2SiTe after structural relaxation, with properties calculated at the PBEsol level.

Its space-group type is P4mm, No. 99.

Lattice parameters (Å, degrees): 3.2681 3.2681 5.4575 90.00 90.00 90.00
Positions (direct):
1 Mn 0.0000 0.0000 0.0000
2 Mn 0.5000 0.5000 0.2977
3 Si 0.0000 0.0000 0.4277
4 Te 0.5000 0.5000 0.7942

Record 9
Below is MnSiTe after structural relaxation, with properties calculated at the PBEsol level.

Its space-group type is F-43m, No. 216.

Lattice parameters (Å, degrees): 4.5239 4.5239 4.5239 60.00 60.00 60.00
Positions (direct):
1 Mn 0.0000 0.0000 0.0000
2 Si 0.5000 0.5000 0.5000
3 Te 0.2500 0.2500 0.2500

Record 10
Below is Mn2SiTe after structural relaxation, with properties calculated at the PBEsol level.

Its space-group type is R-3m, No. 166.

Lattice parameters (Å, degrees): 6.0941 6.0941 6.0941 34.66 34.66 34.66
Positions (direct):
1 Mn 0.2250 0.2250 0.2250
2 Mn 0.7750 0.7750 0.7750
3 Si 0.5000 0.5000 0.5000
4 Te 0.0000 0.0000 0.0000

Record 11
Below is MnSi3Te after structural relaxation, with properties calculated at the PBEsol level.

Its space-group type is Pm-3m, No. 221.

Lattice parameters (Å, degrees): 4.4908 4.4908 4.4908 90.00 90.00 90.00
Positions (direct):
1 Mn 0.0000 0.0000 0.0000
2 Si 0.0000 0.0000 0.5000
3 Si 0.0000 0.5000 0.0000
4 Si 0.5000 0.0000 0.0000
5 Te 0.5000 0.5000 0.5000

Record 12
Below is Mn2SiTe after structural relaxation, with properties calculated at the PBEsol level.

Its space-group type is P4/mmm, No. 123.

Lattice parameters (Å, degrees): 2.9741 2.9741 5.9408 90.00 90.00 90.00
Positions (direct):
1 Mn 0.0000 0.0000 0.2253
2 Mn 0.0000 0.0000 0.7747
3 Si 0.5000 0.5000 0.0000
4 Te 0.5000 0.5000 0.5000

Record 13
Below is MnSiTe3 after structural relaxation, with properties calculated at the PBEsol level.

Its space-group type is Pm-3m, No. 221.

Lattice parameters (Å, degrees): 5.0894 5.0894 5.0894 90.00 90.00 90.00
Positions (direct):
1 Mn 0.0000 0.0000 0.0000
2 Si 0.5000 0.5000 0.5000
3 Te 0.0000 0.0000 0.5000
4 Te 0.0000 0.5000 0.0000
5 Te 0.5000 0.0000 0.0000

Record 14
Below is Ti2MnSi2 after structural relaxation, with properties calculated at the PBEsol level.

Its space-group type is P4/mbm, No. 127.

Lattice parameters (Å, degrees): 6.1080 6.1080 3.6814 90.00 90.00 90.00
Positions (direct):
1 Ti 0.1689 0.3311 0.0000
2 Ti 0.3311 0.8311 0.0000
3 Ti 0.6689 0.1689 0.0000
4 Ti 0.8311 0.6689 0.0000
5 Mn 0.0000 0.0000 0.5000
6 Mn 0.5000 0.5000 0.5000
7 Si 0.1375 0.6375 0.5000
8 Si 0.3625 0.1375 0.5000
9 Si 0.6375 0.8625 0.5000
10 Si 0.8625 0.3625 0.5000

Record 15
Below is MnTl3Si after structural relaxation, with properties calculated at the PBEsol level.

Its space-group type is Pm-3m, No. 221.

Lattice parameters (Å, degrees): 5.0569 5.0569 5.0569 90.00 90.00 90.00
Positions (direct):
1 Mn 0.0000 0.0000 0.0000
2 Tl 0.0000 0.0000 0.5000
3 Tl 0.0000 0.5000 0.0000
4 Tl 0.5000 0.0000 0.0000
5 Si 0.5000 0.5000 0.5000

Record 16
Below is MnTl2Si after structural relaxation, with properties calculated at the PBEsol level.

Its space-group type is Cmmm, No. 65.

Lattice parameters (Å, degrees): 5.2514 5.2514 3.1236 90.00 90.00 107.63
Positions (direct):
1 Mn 0.0000 0.0000 0.0000
2 Tl 0.0000 0.5000 0.5000
3 Tl 0.5000 0.0000 0.5000
4 Si 0.5000 0.5000 0.0000

Record 17
Below is MnTl2Si after structural relaxation, with properties calculated at the PBEsol level.

Its space-group type is Pmmm, No. 47.

Lattice parameters (Å, degrees): 3.3484 4.9082 5.1103 90.00 90.00 90.00
Positions (direct):
1 Mn 0.0000 0.0000 0.0000
2 Tl 0.0000 0.5000 0.5000
3 Tl 0.5000 0.5000 0.0000
4 Si 0.5000 0.0000 0.5000

Record 18
Below is MnTlSi3 after structural relaxation, with properties calculated at the PBEsol level.

Its space-group type is Pm-3m, No. 221.

Lattice parameters (Å, degrees): 5.0806 5.0806 5.0806 90.00 90.00 90.00
Positions (direct):
1 Mn 0.0000 0.0000 0.0000
2 Tl 0.5000 0.5000 0.5000
3 Si 0.0000 0.5000 0.5000
4 Si 0.5000 0.0000 0.5000
5 Si 0.5000 0.5000 0.0000

Record 19
Below is TmMnSi after structural relaxation, with properties calculated at the PBEsol level.

Its space-group type is Pnma, No. 62.

Lattice parameters (Å, degrees): 6.7849 4.0531 7.2096 90.00 90.00 90.00
Positions (direct):
1 Tm 0.0010 0.2500 0.1873
2 Tm 0.4990 0.7500 0.6873
3 Tm 0.5010 0.2500 0.3127
4 Tm 0.9990 0.7500 0.8127
5 Mn 0.1426 0.2500 0.5583
6 Mn 0.3574 0.7500 0.0583
7 Mn 0.6426 0.2500 0.9417
8 Mn 0.8574 0.7500 0.4417
9 Si 0.2073 0.7500 0.3878
10 Si 0.2927 0.2500 0.8878
11 Si 0.7073 0.7500 0.1122
12 Si 0.7927 0.2500 0.6122

Record 20
Below is U2Mn3Si after structural relaxation, with properties calculated at the PBEsol level.

Its space-group type is P6_3/mmc, No. 194.

Lattice parameters (Å, degrees): 5.0538 5.0538 7.6693 90.00 90.00 120.00
Positions (direct):
1 U 0.3333 0.6667 0.0764
2 U 0.3333 0.6667 0.4236
3 U 0.6667 0.3333 0.5764
4 U 0.6667 0.3333 0.9236
5 Mn 0.1695 0.3391 0.7500
6 Mn 0.1695 0.8305 0.7500
7 Mn 0.3391 0.1695 0.2500
8 Mn 0.6609 0.8305 0.7500
9 Mn 0.8305 0.1695 0.2500
10 Mn 0.8305 0.6609 0.2500
11 Si 0.0000 0.0000 0.0000
12 Si 0.0000 0.0000 0.5000

ΔE_f (raw) readings, ordered: -0.30, -0.26, -0.14, -0.15, -0.30, 1.30, 0.70, 0.07, 0.79, 0.10, 0.26, 0.16, 0.59, -0.70, 0.80, 0.61, 0.63, 1.77, -0.55, -0.28 eV per atom
Calculated volume readings, ordered: 12.38, 12.62, 12.52, 12.15, 11.91, 16.02, 27.89, 14.57, 21.82, 16.33, 18.11, 13.14, 26.36, 13.73, 25.86, 20.52, 21.00, 26.23, 16.52, 14.14 Å³ per atom